Entry 1:
Rb2TlGeCl6 (PBE-GGA, relaxed); final energy = -3.2630 eV/atom; space group = No. 123; total magnetic moment = 0.00 μB/f.u.; theoretical density = 3.420 g/cm³; formation energy (no corrections) = -1.26 eV per atom; ΔE to the lowest computed polymorph = 2.2 kJ/mol of atoms
1.0
5.417 0.000 0.000
0.000 5.417 0.000
0.000 0.000 10.933
Rb Tl Ge Cl
2 1 1 6
Direct
0.000 0.000 0.235
0.000 0.000 0.765
0.500 0.500 0.500
0.500 0.500 0.000
0.000 0.500 0.000
0.000 0.500 0.500
0.500 0.000 0.000
0.500 0.000 0.500
0.500 0.500 0.237
0.500 0.500 0.763



Entry 2:
Rb3TlGe2Cl9 (PBE-GGA, relaxed); final energy = -3.3705 eV/atom; space group = No. 164; total magnetic moment = 0.00 μB/f.u.; theoretical density = 3.154 g/cm³; formation energy (no corrections) = -1.30 eV per atom
1.0
7.473 0.000 0.000
-3.736 6.471 0.000
0.000 0.000 10.072
Rb Tl Ge Cl
3 1 2 9
Direct
0.000 0.000 0.000
0.333 0.667 0.733
0.667 0.333 0.267
0.000 0.000 0.500
0.333 0.667 0.161
0.667 0.333 0.839
0.000 0.500 0.000
0.176 0.351 0.296
0.176 0.824 0.296
0.351 0.176 0.704
0.500 0.000 0.000
0.500 0.500 0.000
0.649 0.824 0.296
0.824 0.176 0.704
0.824 0.649 0.704



Entry 3:
Rb2TlGeCl6 (PBE-GGA, relaxed); final energy = -3.2858 eV/atom; space group = No. 139; total magnetic moment = 0.00 μB/f.u.; theoretical density = 3.372 g/cm³; formation energy (no corrections) = -1.29 eV per atom; ΔE to the lowest computed polymorph = 0.0 kJ/mol of atoms
1.0
-3.863 3.863 5.450
3.863 -3.863 5.450
3.863 3.863 -5.450
Rb Tl Ge Cl
2 1 1 6
Direct
0.250 0.750 0.500
0.750 0.250 0.500
0.000 0.000 0.000
0.500 0.500 0.000
0.270 0.270 0.000
0.271 0.271 0.541
0.271 0.729 0.000
0.729 0.271 0.000
0.729 0.729 0.459
0.730 0.730 0.000



Entry 4:
RbTmGe2Cl8 (PBE-GGA, relaxed); final energy = -3.9305 eV/atom; space group = No. 2; total magnetic moment = 0.00 μB/f.u.; theoretical density = 2.767 g/cm³; formation energy (no corrections) = -1.48 eV per atom
1.0
6.308 0.000 0.000
-0.766 6.986 0.000
-0.384 -0.483 9.307
Rb Tm Ge Cl
1 1 2 8
Direct
0.000 0.000 0.000
0.000 0.000 0.500
0.451 0.567 0.289
0.549 0.433 0.711
0.211 0.188 0.312
0.216 0.698 0.461
0.271 0.629 0.083
0.279 0.123 0.712
0.721 0.877 0.288
0.729 0.371 0.917
0.784 0.302 0.539
0.789 0.812 0.688



Entry 5:
Rb2VGeCl6 (PBE-GGA, relaxed); final energy = -4.0371 eV/atom; space group = No. 225; total magnetic moment = 3.00 μB/f.u.; theoretical density = 3.080 g/cm³; formation energy (no corrections) = -1.36 eV per atom
1.0
0.000 5.152 5.152
5.152 0.000 5.152
5.152 5.152 0.000
Rb V Ge Cl
2 1 1 6
Direct
0.250 0.250 0.250
0.750 0.750 0.750
0.000 0.000 0.000
0.500 0.500 0.500
0.242 0.242 0.758
0.242 0.758 0.242
0.242 0.758 0.758
0.758 0.242 0.242
0.758 0.242 0.758
0.758 0.758 0.242



Entry 6:
RbYGe2Cl8 (PBE-GGA, relaxed); final energy = -4.0970 eV/atom; space group = No. 2; total magnetic moment = 0.00 μB/f.u.; theoretical density = 2.422 g/cm³; formation energy (no corrections) = -1.48 eV per atom
1.0
6.324 0.000 0.000
-0.711 7.000 0.000
-0.216 -0.509 9.341
Rb Y Ge Cl
1 1 2 8
Direct
0.000 0.000 0.000
0.000 0.000 0.500
0.455 0.563 0.282
0.545 0.437 0.718
0.211 0.190 0.307
0.225 0.693 0.460
0.274 0.634 0.081
0.278 0.127 0.713
0.722 0.873 0.287
0.726 0.366 0.919
0.775 0.307 0.540
0.789 0.810 0.693



Entry 7:
Re2GeCl (PBE-GGA, relaxed); final energy = -6.8820 eV/atom; space group = No. 225; total magnetic moment = 0.00 μB/f.u.; theoretical density = 13.573 g/cm³; formation energy (no corrections) = 0.96 eV per atom; ΔE to the lowest computed polymorph = 0.0 kJ/mol of atoms
1.0
6.172 0.000 0.000
0.000 6.172 0.000
0.000 0.000 6.172
Re Ge Cl
8 4 4
Direct
0.250 0.250 0.250
0.250 0.250 0.750
0.250 0.750 0.250
0.250 0.750 0.750
0.750 0.250 0.250
0.750 0.250 0.750
0.750 0.750 0.250
0.750 0.750 0.750
0.000 0.000 0.000
0.000 0.500 0.500
0.500 0.000 0.500
0.500 0.500 0.000
0.000 0.000 0.500
0.000 0.500 0.000
0.500 0.000 0.000
0.500 0.500 0.500



Entry 8:
ReGe3Cl (PBE-GGA, relaxed); final energy = -5.7106 eV/atom; space group = No. 221; total magnetic moment = 0.00 μB/f.u.; theoretical density = 6.438 g/cm³; formation energy (no corrections) = -0.08 eV per atom; ΔE to the lowest computed polymorph = 0.0 kJ/mol of atoms
1.0
4.840 0.000 0.000
0.000 4.840 0.000
0.000 0.000 4.840
Re Ge Cl
1 3 1
Direct
0.000 0.000 0.000
0.000 0.000 0.500
0.000 0.500 0.000
0.500 0.000 0.000
0.500 0.500 0.500